This record from Alexandria describes crystalline Ac2Pr2Y7 at its relaxed geometry. The functional is GGA-PBE.

a = 3.7611 Å, b = 9.5210 Å, c = 11.9933 Å
α = 68.45°, β = 80.98°, γ = 89.99°
Space group P-1 (No. 2)
Unique sites:
1 Ac 0.0992 0.2835 0.3001 [2 per cell]
2 Pr 0.1307 0.7381 0.2396 [2 per cell]
3 Y 0.2794 0.3995 0.9415 [2 per cell]
4 Y 0.2963 0.9249 0.9073 [2 per cell]
5 Y 0.4538 0.0951 0.5916 [2 per cell]
6 Y 0.5000 0.5000 0.5000 [1 per cell]

Results
DFT total energy = -5.637 eV/atom
energy above the lowest structure with this stoichiometry = 0 meV/atom
formation energy = 0.0922 eV/atom
ρ = 5.728 g/cm3